1.
## GaAgBr2 (PBE-GGA)

Data for a relaxed structure of GaAgBr2.

Cell lengths 5.2051, 5.2051, 5.2051 Å; angles 60.00, 60.00, 60.00 degrees
With the nearest neighbours (Å) after each atom.
Element x y z (fractional)
Br1 0.7500 0.7500 0.7500  4 Ag 3.19, 4 Ga 3.19
Br2 0.2500 0.2500 0.2500  4 Ag 3.19, 4 Ga 3.19
Ga1 0.0000 0.0000 0.0000  8 Br 3.19
Ag1 0.5000 0.5000 0.5000  8 Br 3.19

Calculated values
**Offset from the most stable computed form**: 125.4 meV/atom

2.
## VHgSCl2 (PBE-GGA)

Data for a relaxed structure of VHgSCl2.

Cell lengths 5.1463, 5.1463, 5.1312 Å; angles 90.00, 90.00, 90.00 degrees
With the nearest neighbours (Å) after each atom.
Element x y z (fractional)
Hg1 0.0000 0.0000 0.0000  2 S 2.57, 4 Cl 2.57
V1 0.5000 0.5000 0.5000  8 Cl 3.63, 4 S 3.64
Cl1 0.5000 0.0000 0.0000  2 Hg 2.57
Cl2 0.0000 0.5000 0.0000  2 Hg 2.57
S1 0.0000 0.0000 0.5000  2 Hg 2.57

Calculated values
**Offset from the most stable computed form**: 935.9 meV/atom

3.
## Pr6Tl2Hg (PBE-GGA)

Data for a relaxed structure of Pr6Tl2Hg.

Cell lengths 5.6051, 5.6033, 10.5854 Å; angles 90.01, 90.00, 120.01 degrees
With the nearest neighbours (Å) after each atom.
Element x y z (fractional)
Hg1 0.0000 0.0000 0.5000  8 Pr 3.34-3.41
Pr1 0.6667 0.3334 0.9715  1 Tl 3.28, 6 Pr 3.29-3.63
Pr2 0.9999 0.9997 0.1843  1 Hg 3.34, 3 Tl 3.39, 3 Pr 3.63
Pr3 0.6668 0.3336 0.6026  4 Tl 3.40-3.46, 3 Hg 3.41
Pr4 0.0001 0.0003 0.8157  1 Hg 3.34, 3 Tl 3.39, 3 Pr 3.63
Pr5 0.3332 0.6664 0.3974  4 Tl 3.40-3.46, 3 Hg 3.41
Pr6 0.3333 0.6666 0.0285  1 Tl 3.28, 6 Pr 3.29-3.63
Tl1 0.3335 0.6671 0.7187  8 Pr 3.28-3.46
Tl2 0.6665 0.3329 0.2813  8 Pr 3.28-3.46

Calculated values
**ΔE_f**: -262 meV/atom
**Offset from the most stable computed form**: 0.0 meV/atom

4.
## LaThPd2 (PBE-GGA)

Data for a relaxed structure of LaThPd2.

Cell lengths 3.8709, 4.6185, 5.9484 Å; angles 90.00, 108.43, 90.00 degrees
With the nearest neighbours (Å) after each atom.
Element x y z (fractional)
Pd1 0.1694 0.5000 0.8804  4 La 3.06-3.07, 2 Pd 3.08, 3 Th 3.15-3.16
Pd2 0.9919 0.0000 0.5190  3 La 3.04-3.25, 4 Th 3.05, 2 Pd 3.08
La1 0.7175 0.0000 0.9804  7 Pd 3.04-3.25
Th1 0.4522 0.5000 0.4382  7 Pd 3.05-3.16

Calculated values
**ΔE_f**: -777 meV/atom
**Offset from the most stable computed form**: 16.1 meV/atom

5.
## SmPu3C (PBE-GGA)

Data for a relaxed structure of SmPu3C.

Cell lengths 4.9474, 4.9474, 4.9474 Å; angles 90.00, 90.00, 90.00 degrees
With the nearest neighbours (Å) after each atom.
Element x y z (fractional)
Sm1 0.5000 0.5000 0.5000  12 Pu 3.50
Pu1 0.0000 0.0000 0.5000  2 C 2.47
Pu2 0.0000 0.5000 0.0000  2 C 2.47
Pu3 0.5000 0.0000 0.0000  2 C 2.47
C1 0.0000 0.0000 0.0000  6 Pu 2.47

Calculated values
**ΔE_f**: 219 meV/atom

6.
## BeH2RhN (PBE-GGA)

Data for a relaxed structure of BeH2RhN.

Cell lengths 3.1386, 4.1865, 3.1386 Å; angles 90.00, 90.00, 90.00 degrees
With the nearest neighbours (Å) after each atom.
Element x y z (fractional)
N1 0.0000 0.5000 0.0000  2 Rh 2.09, 4 Be 2.22
H1 0.5000 0.0000 0.0000  2 Rh 1.57
H2 0.0000 0.0000 0.5000  2 Rh 1.57
Be1 0.5000 0.5000 0.5000  4 N 2.22
Rh1 0.0000 0.0000 0.0000  4 H 1.57

Calculated values
**VASP energy**: -4.74 eV per atom

7.
## PrAl2Cu2 (PBE-GGA)

Data for a relaxed structure of PrAl2Cu2.

Cell lengths 4.1265, 4.1265, 6.1584 Å; angles 109.57, 109.57, 90.00 degrees
With the nearest neighbours (Å) after each atom.
Element x y z (fractional)
Cu1 0.6160 0.6160 0.2319  1 Cu 2.52, 4 Al 2.52
Cu2 0.3840 0.3840 0.7681  1 Cu 2.52, 4 Al 2.52
Pr1 0.0000 0.0000 0.0000  8 Cu 3.18, 8 Al 3.41
Al1 0.2500 0.7500 0.5000  4 Cu 2.52
Al2 0.7500 0.2500 0.5000  4 Cu 2.52

Calculated values
**ΔE_f**: -399 meV/atom

8.
## UZn11Fe (PBE-GGA)

Data for a relaxed structure of UZn11Fe.

Cell lengths 5.1069, 6.7450, 6.8394 Å; angles 81.79, 68.08, 67.50 degrees
With the nearest neighbours (Å) after each atom.
Element x y z (fractional)
Zn1 0.0263 0.6418 0.3435  1 Fe 2.63, 9 Zn 2.67-2.94
Zn2 0.2868 0.2195 0.2156  1 Fe 2.55, 7 Zn 2.57-2.76
Zn3 0.6302 0.3582 0.3435  1 Fe 2.63, 9 Zn 2.67-2.94
Zn4 0.0000 0.0000 0.5000  10 Zn 2.55-2.80
Zn5 0.5000 0.0000 0.5000  10 Zn 2.55-2.80
Zn6 0.9737 0.3582 0.6565  1 Fe 2.63, 9 Zn 2.67-2.94
Zn7 0.3698 0.6418 0.6565  1 Fe 2.63, 9 Zn 2.67-2.94
Zn8 0.5024 0.2195 0.7844  1 Fe 2.55, 7 Zn 2.57-2.76
Zn9 0.4976 0.7805 0.2156  1 Fe 2.55, 7 Zn 2.57-2.76
Zn10 0.7132 0.7805 0.7844  1 Fe 2.55, 7 Zn 2.57-2.76
Zn11 0.0000 0.5000 0.0000  2 Fe 2.55, 8 Zn 2.57-2.73
U1 0.0000 0.0000 0.0000  18 Zn 3.12-3.42, 2 Fe 3.36
Fe1 0.5000 0.5000 0.0000  10 Zn 2.55-2.63

Calculated values
**ΔE_f**: -4 meV/atom